Record 1
Density functional theory data (PBE-GGA) for an optimized crystal structure of LaPmOsRh.

a = 5.0113 Å, b = 5.0113 Å, c = 5.0113 Å
α = 60.00°, β = 60.00°, γ = 60.00°
With the nearest neighbours (Å) after each atom.
Positions (direct):
1 La 0.0000 0.0000 0.0000  4 Os 3.07, 4 Rh 3.07
2 Pm 0.5000 0.5000 0.5000  4 Os 3.07, 4 Rh 3.07
3 Os 0.7500 0.7500 0.7500  4 Pm 3.07, 4 La 3.07
4 Rh 0.2500 0.2500 0.2500  4 Pm 3.07, 4 La 3.07

Summary:
Space-group type: No. 216
Size of the total moment in μB per atom: 0.000

Record 2
Density functional theory data (PBE-GGA) for an optimized crystal structure of La3PmTlOs.

a = 9.0086 Å, b = 9.0086 Å, c = 6.2775 Å
α = 107.35°, β = 107.35°, γ = 50.81°
With the nearest neighbours (Å) after each atom.
Positions (direct):
1 La 0.1256 0.6377 0.9026  2 Os 3.02-3.04
2 La 0.1726 0.1726 0.6396  2 Os 3.07-3.14
3 La 0.3623 0.8744 0.0974  2 Os 3.02-3.04
4 La 0.6377 0.1256 0.9026  2 Os 3.02-3.04
5 La 0.8274 0.8274 0.3604  2 Os 3.07-3.14
6 La 0.8744 0.3623 0.0974  2 Os 3.02-3.04
7 Pm 0.3042 0.6958 0.5000  2 Os 2.85, 1 Pm 3.03
8 Pm 0.6958 0.3042 0.5000  2 Os 2.85, 1 Pm 3.03
9 Tl 0.3054 0.3054 0.2990  2 Pm 3.36, 5 La 3.45-3.70
10 Tl 0.6946 0.6946 0.7010  2 Pm 3.36, 5 La 3.45-3.70
11 Os 0.0006 0.0006 0.2433  2 Pm 2.85, 6 La 3.02-3.14, 1 Os 3.05
12 Os 0.9994 0.9994 0.7567  2 Pm 2.85, 6 La 3.02-3.14, 1 Os 3.05

Summary:
Space-group type: No. 12
Size of the total moment in μB per atom: 0.000

Record 3
Density functional theory data (PBE-GGA) for an optimized crystal structure of LaPmZnOs.

a = 5.1006 Å, b = 5.1006 Å, c = 5.1006 Å
α = 60.00°, β = 60.00°, γ = 60.00°
With the nearest neighbours (Å) after each atom.
Positions (direct):
1 La 0.0000 0.0000 0.0000  4 Os 3.12, 4 Zn 3.12
2 Pm 0.5000 0.5000 0.5000  4 Os 3.12, 4 Zn 3.12
3 Zn 0.2500 0.2500 0.2500  4 La 3.12, 4 Pm 3.12
4 Os 0.7500 0.7500 0.7500  4 La 3.12, 4 Pm 3.12

Summary:
Space-group type: No. 216
Size of the total moment in μB per atom: 0.000

Record 4
Density functional theory data (PBE-GGA) for an optimized crystal structure of La3PrOs.

a = 7.9807 Å, b = 6.7911 Å, c = 6.5952 Å
α = 90.00°, β = 90.00°, γ = 90.00°
With the nearest neighbours (Å) after each atom.
Positions (direct):
1 La 0.0000 0.1590 0.0000  1 Os 2.77
2 La 0.2484 0.6748 0.9945  2 Os 2.85
3 La 0.2516 0.3252 0.4945  2 Os 2.85
4 La 0.5000 0.8410 0.5000  1 Os 2.77
5 La 0.7484 0.3252 0.4945  2 Os 2.85
6 La 0.7516 0.6748 0.9945  2 Os 2.85
7 Pr 0.0000 0.8376 0.4955  1 Os 2.88
8 Pr 0.5000 0.1624 0.9955  1 Os 2.88
9 Os 0.0000 0.4921 0.2414  5 La 2.77-2.85, 1 Pr 2.88
10 Os 0.5000 0.5079 0.7414  5 La 2.77-2.85, 1 Pr 2.88

Summary:
Space-group type: No. 31
Size of the total moment in μB per atom: 0.000

Fermi-level density of states readings, ordered: 0.9895; 0.9194; 1.2430; 1.4499 states/eV/atom
Formation enthalpy at 0 K readings, ordered: -228; -257; -122; -47 meV per atom